[1]
Cs2AgBiI6 after structural relaxation, computed with PBE-GGA.

It has space group P2_1/c (No. 14), with a = 8.504 Å, b = 8.611 Å, c = 14.994 Å, α = 90.00°, β = 124.30° and γ = 90.00°. The distinct sites, in fractional coordinates, are Cs at (0.236, 0.044, 0.249), Ag at (0.000, 0.000, 0.500), Bi at (0.500, 0.000, 0.000), I at (0.184, 0.216, 0.976), I at (0.264, 0.708, 0.979) and I at (0.294, 0.505, 0.250).

The total energy comes out at -2.6343 eV/atom. The theoretical density is 4.9 g/cm3. Its crystal system is monoclinic.

***

[2]
MnAlSi after structural relaxation, computed with PBE-GGA.

It has space group I4/mmm (No. 139), with a = 2.950 Å, b = 2.950 Å, c = 18.865 Å, α = 90.00°, β = 90.00° and γ = 90.00°. The distinct sites, in fractional coordinates, are Mn at (0.000, 0.000, 0.155), Al at (0.000, 0.000, 0.429) and Si at (0.000, 0.000, 0.288).

The total energy comes out at -6.3889 eV/atom. The theoretical density is 4.5 g/cm3. Its density of states at the Fermi level is 11.90 states/eV/cell. Its crystal system is tetragonal.

***

[3]
Zr4SiIr after structural relaxation, computed with PBE-GGA.

It has space group P4/mcc (No. 124), with a = 6.580 Å, b = 6.580 Å, c = 5.551 Å, α = 90.00°, β = 90.00° and γ = 90.00°. The distinct sites, in fractional coordinates, are Zr at (0.163, 0.336, 0.000), Si at (0.500, 0.500, 0.250) and Ir at (0.000, 0.000, 0.250).

The total energy comes out at -8.7506 eV/atom. The theoretical density is 8.1 g/cm3. Its density of states at the Fermi level is 14.43 states/eV/cell. Its crystal system is tetragonal.